# 1
Here is Sr2ZrRe after structural relaxation from the Alexandria database. Energies are from GGA-PBE.

Lattice parameters (Å, degrees): 3.414 4.251 18.460 90.00 90.00 90.00
Space group Immm (No. 71)
Inequivalent atoms, fractional coordinates:
Sr1 0.000 0.000 0.154 [4 per cell]
Zr1 0.000 0.500 0.000 [2 per cell]
Re1 0.000 0.500 0.500 [2 per cell]

Results
For the magnetic moment, the calculation gives 0.00 μB per formula unit. Its distance to the lowest polymorph of the same formula is 139 meV/atom.


# 2
Here is Sr2ZrRe after structural relaxation from the Alexandria database. Energies are from GGA-PBE.

Lattice parameters (Å, degrees): 11.687 11.687 4.819 90.00 90.00 90.00
Space group I-42d (No. 122)
Inequivalent atoms, fractional coordinates:
Sr1 0.091 0.250 0.125 [8 per cell]
Zr1 0.000 0.000 0.500 [4 per cell]
Re1 0.000 0.000 0.000 [4 per cell]

Results
For the magnetic moment, the calculation gives 0.00 μB per formula unit. Its distance to the lowest polymorph of the same formula is 580 meV/atom.


> The highest distance to the lowest polymorph of the same formula belongs to which entry?

number 2